i | VASP calculation (GGA-PBE) on crystalline Na2SnAu3 at its relaxed geometry.

As for the density: 8.32 g/cm3. Its volume is 301 Å³/cell. The crystal system is orthorhombic.

The structure belongs to space group Pmma (No. 51); the cell edges are 5.367, 5.574 and 10.076 Å and the angles 90.00°, 90.00° and 90.00°. The asymmetric unit holds Na at (0.250, 0.000, 0.102), Na at (0.250, 0.500, 0.331), Sn at (0.250, 0.000, 0.564), Au at (0.000, 0.500, 0.000) and Au at (0.250, 0.253, 0.793).

---

ii | VASP calculation (GGA-PBE) on crystalline Na2SnAu3 at its relaxed geometry.

As for the density: 9.43 g/cm3. Its volume is 399 Å³/cell. The crystal system is trigonal.

The structure belongs to space group R-3m (No. 166, hexagonal axes); the cell edges are 5.8536, 5.8536 and 13.4579 Å and the angles 90.00°, 90.00° and 120.00°. The asymmetric unit holds Na at (0.0000, 0.0000, 0.1241), Sn at (0.0000, 0.0000, 0.5000) and Au at (0.0000, 0.5000, 0.0000).

---

Which one is the most stable? From the structures above, ii.